# 1
Material: AgMoN2
Method: DFT, meta-GGA SCAN
State: single point on PBEsol structure

M_tot in μB per formula unit: 0.00
D(E_F) in states/eV/cell: 1.78
Energy relative to the elements, uncorrected in kcal/mol of atoms: 0.832
Crystal system: trigonal
VASP energy in eV for the cell shown: -84.7

Cell lengths 6.712, 6.712, 6.712 Å; angles 25.17, 25.17, 25.17 degrees
Atoms (fractional coordinates):
1 Ag 0.000 0.000 0.000
2 Mo 0.500 0.500 0.500
3 N 0.107 0.107 0.107
4 N 0.893 0.893 0.893

---

# 2
Material: AgMoS2N
Method: DFT, meta-GGA SCAN
State: single point on PBEsol structure

M_tot in μB per formula unit: 0.00
D(E_F) in states/eV/cell: 3.30
Energy relative to the elements, uncorrected in kcal/mol of atoms: 3.627
Crystal system: tetragonal
VASP energy in eV for the cell shown: -94.0

Cell lengths 4.758, 4.758, 3.751 Å; angles 90.00, 90.00, 90.00 degrees
Atoms (fractional coordinates):
1 Ag 0.000 0.000 0.000
2 Mo 0.500 0.500 0.500
3 S 0.000 0.500 0.500
4 S 0.500 0.000 0.500
5 N 0.500 0.500 0.000

---

# 3
Material: SrAgMoN2
Method: DFT, meta-GGA SCAN
State: single point on PBEsol structure

M_tot in μB per formula unit: 6.12
D(E_F) in states/eV/cell: 1.33
Energy relative to the elements, uncorrected in kcal/mol of atoms: 43.842
Crystal system: tetragonal
VASP energy in eV for the cell shown: -97.6

Cell lengths 4.329, 4.329, 4.933 Å; angles 90.00, 90.00, 90.00 degrees
Atoms (fractional coordinates):
1 Sr 0.000 0.000 0.000
2 Ag 0.500 0.500 0.500
3 Mo 0.500 0.500 0.000
4 N 0.000 0.500 0.500
5 N 0.500 0.000 0.500

---

Please write out number 1 again, unchanged.
Material: AgMoN2
Method: DFT, meta-GGA SCAN
State: single point on PBEsol structure

M_tot in μB per formula unit: 0.00
D(E_F) in states/eV/cell: 1.78
Energy relative to the elements, uncorrected in kcal/mol of atoms: 0.832
Crystal system: trigonal
VASP energy in eV for the cell shown: -84.7

Cell lengths 6.712, 6.712, 6.712 Å; angles 25.17, 25.17, 25.17 degrees
Atoms (fractional coordinates):
1 Ag 0.000 0.000 0.000
2 Mo 0.500 0.500 0.500
3 N 0.107 0.107 0.107
4 N 0.893 0.893 0.893